First-principles (PBE) data for crystalline BeIn2OsI at its relaxed geometry, as listed in the Alexandria database.

a b c (Å): 6.024 6.024 4.610
angles (deg): 90.00 90.00 90.00
Element x y z (fractional)
Be  0.000  0.000  0.000
In  0.000  0.500  0.500
In  0.500  0.000  0.500
Os  0.500  0.500  0.000
I  0.000  0.000  0.500

Properties
DFT total energy: -11.96 eV per cell
magnetic moment: 2.7 μB per cell
formation energy from raw total energies: 2.005 eV per atom
SG: P4/mmm, No. 123

=====

First-principles (PBE) data for crystalline RbBeInI4 at its relaxed geometry, as listed in the Alexandria database.

a b c (Å): 7.490 8.046 10.306
angles (deg): 90.00 109.44 90.00
Element x y z (fractional)
Rb  0.205  0.250  0.415
Rb  0.795  0.750  0.585
Be  0.305  0.750  0.205
Be  0.695  0.250  0.795
In  0.289  0.250  0.960
In  0.711  0.750  0.040
I  0.092  0.750  0.340
I  0.128  0.750  0.960
I  0.492  0.007  0.738
I  0.492  0.493  0.738
I  0.508  0.507  0.262
I  0.508  0.993  0.262
I  0.872  0.250  0.040
I  0.908  0.250  0.660

Properties
DFT total energy: -38.59 eV per cell
magnetic moment: 0.0 μB per cell
formation energy from raw total energies: -0.809 eV per atom
SG: P2_1/m, No. 11

=====

First-principles (PBE) data for crystalline BeInSb2I at its relaxed geometry, as listed in the Alexandria database.

a b c (Å): 4.920 4.920 5.918
angles (deg): 90.00 90.00 90.00
Element x y z (fractional)
Be  0.000  0.000  0.000
In  0.500  0.500  0.500
Sb  0.000  0.500  0.000
Sb  0.500  0.000  0.000
I  0.000  0.000  0.500

Properties
DFT total energy: -14.62 eV per cell
magnetic moment: 0.0 μB per cell
formation energy from raw total energies: 0.328 eV per atom
energy above the most stable polymorph in this dataset: 0 meV per atom
SG: P4/mmm, No. 123

=====

First-principles (PBE) data for crystalline BeInSb2I at its relaxed geometry, as listed in the Alexandria database.

a b c (Å): 5.690 5.690 5.942
angles (deg): 90.00 90.00 90.00
Element x y z (fractional)
Be  0.000  0.000  0.000
In  0.500  0.500  0.500
Sb  0.000  0.500  0.500
Sb  0.500  0.000  0.500
I  0.500  0.500  0.000

Properties
DFT total energy: -10.66 eV per cell
magnetic moment: 1.2 μB per cell
formation energy from raw total energies: 1.120 eV per atom
energy above the most stable polymorph in this dataset: 791 meV per atom
SG: P4/mmm, No. 123

=====

First-principles (PBE) data for crystalline SrBeIn2I at its relaxed geometry, as listed in the Alexandria database.

a b c (Å): 4.730 4.730 7.185
angles (deg): 90.00 90.00 90.00
Element x y z (fractional)
Sr  0.000  0.000  0.000
Be  0.500  0.500  0.500
In  0.000  0.500  0.500
In  0.500  0.000  0.500
I  0.500  0.500  0.000

Properties
DFT total energy: -12.91 eV per cell
magnetic moment: 0.0 μB per cell
formation energy from raw total energies: -0.095 eV per atom
SG: P4/mmm, No. 123

=====

First-principles (PBE) data for crystalline SrBe2InI at its relaxed geometry, as listed in the Alexandria database.

a b c (Å): 5.009 5.009 6.064
angles (deg): 90.00 90.00 90.00
Element x y z (fractional)
Sr  0.000  0.000  0.000
Be  0.000  0.500  0.500
Be  0.500  0.000  0.500
In  0.500  0.500  0.000
I  0.000  0.000  0.500

Properties
DFT total energy: -8.88 eV per cell
magnetic moment: 0.0 μB per cell
formation energy from raw total energies: 0.909 eV per atom
SG: P4/mmm, No. 123

=====

First-principles (PBE) data for crystalline BeInTe2I at its relaxed geometry, as listed in the Alexandria database.

a b c (Å): 5.732 5.732 5.837
angles (deg): 90.00 90.00 90.00
Element x y z (fractional)
Be  0.000  0.000  0.000
In  0.500  0.500  0.500
Te  0.000  0.500  0.500
Te  0.500  0.000  0.500
I  0.500  0.500  0.000

Properties
DFT total energy: -10.09 eV per cell
magnetic moment: 0.0 μB per cell
formation energy from raw total energies: 0.841 eV per atom
energy above the most stable polymorph in this dataset: 727 meV per atom
SG: P4/mmm, No. 123

=====

First-principles (PBE) data for crystalline BeInTe2I at its relaxed geometry, as listed in the Alexandria database.

a b c (Å): 5.132 5.132 5.704
angles (deg): 90.00 90.00 90.00
Element x y z (fractional)
Be  0.000  0.000  0.000
In  0.500  0.500  0.500
Te  0.000  0.500  0.000
Te  0.500  0.000  0.000
I  0.000  0.000  0.500

Properties
DFT total energy: -13.73 eV per cell
magnetic moment: 0.0 μB per cell
formation energy from raw total energies: 0.114 eV per atom
energy above the most stable polymorph in this dataset: 0 meV per atom
SG: P4/mmm, No. 123

=====

First-principles (PBE) data for crystalline Be2TlInI6 at its relaxed geometry, as listed in the Alexandria database.

a b c (Å): 7.501 7.501 18.843
angles (deg): 96.46 96.46 110.35
Element x y z (fractional)
Be  0.044  0.380  0.166
Be  0.380  0.044  0.666
Be  0.620  0.956  0.334
Be  0.956  0.620  0.834
Tl  0.084  0.916  0.250
Tl  0.916  0.084  0.750
In  0.419  0.581  0.750
In  0.581  0.419  0.250
I  0.100  0.436  0.292
I  0.149  0.486  0.895
I  0.186  0.195  0.106
I  0.195  0.186  0.606
I  0.436  0.100  0.792
I  0.486  0.149  0.395
I  0.514  0.851  0.605
I  0.564  0.900  0.208
I  0.805  0.814  0.394
I  0.814  0.805  0.894
I  0.851  0.514  0.105
I  0.900  0.564  0.708

Properties
DFT total energy: -54.24 eV per cell
magnetic moment: 0.0 μB per cell
formation energy from raw total energies: -0.526 eV per atom
SG: C2/c, No. 15

=====

First-principles (PBE) data for crystalline BeInW2I at its relaxed geometry, as listed in the Alexandria database.

a b c (Å): 5.024 5.024 4.332
angles (deg): 90.00 90.00 90.00
Element x y z (fractional)
Be  0.000  0.000  0.000
In  0.500  0.500  0.000
W  0.000  0.500  0.500
W  0.500  0.000  0.500
I  0.000  0.000  0.500

Properties
DFT total energy: -22.06 eV per cell
magnetic moment: 0.0 μB per cell
formation energy from raw total energies: 2.371 eV per atom
SG: P4/mmm, No. 123

=====

First-principles (PBE) data for crystalline BeIrI at its relaxed geometry, as listed in the Alexandria database.

a b c (Å): 5.887 5.887 5.887
angles (deg): 121.34 72.22 141.75
Element x y z (fractional)
Be  0.482  0.232  0.250
Be  0.518  0.768  0.750
Ir  0.000  0.000  0.500
Ir  0.000  0.500  0.000
I  0.000  0.500  0.500
I  0.500  0.500  0.000

Properties
DFT total energy: -25.94 eV per cell
magnetic moment: 0.0 μB per cell
formation energy from raw total energies: 0.389 eV per atom
energy above the most stable polymorph in this dataset: 557 meV per atom
SG: Imma, No. 74

=====

First-principles (PBE) data for crystalline BeIrI at its relaxed geometry, as listed in the Alexandria database.

a b c (Å): 4.686 4.686 5.515
angles (deg): 90.00 90.00 120.00
Element x y z (fractional)
Be  0.000  0.000  0.000
Be  0.000  0.000  0.500
Ir  0.333  0.667  0.250
Ir  0.667  0.333  0.750
I  0.333  0.667  0.750
I  0.667  0.333  0.250

Properties
DFT total energy: -21.89 eV per cell
magnetic moment: 0.0 μB per cell
formation energy from raw total energies: 1.065 eV per atom
energy above the most stable polymorph in this dataset: 1233 meV per atom
SG: P6_3/mmc, No. 194

=====

First-principles (PBE) data for crystalline BeIr2I2 at its relaxed geometry, as listed in the Alexandria database.

a b c (Å): 5.294 5.294 5.294
angles (deg): 118.25 118.25 93.05
Element x y z (fractional)
Be  0.000  0.000  0.000
Ir  0.295  0.295  0.000
Ir  0.705  0.705  0.000
I  0.250  0.750  0.500
I  0.750  0.250  0.500

Properties
DFT total energy: -21.08 eV per cell
magnetic moment: 0.0 μB per cell
formation energy from raw total energies: 0.693 eV per atom
energy above the most stable polymorph in this dataset: 0 meV per atom
SG: I4/mmm, No. 139

=====

First-principles (PBE) data for crystalline BeIrI at its relaxed geometry, as listed in the Alexandria database.

a b c (Å): 3.786 4.100 9.651
angles (deg): 91.41 90.48 117.42
Element x y z (fractional)
Be  0.000  0.000  0.000
Be  0.401  0.794  0.145
Ir  0.298  0.597  0.928
Ir  0.706  0.405  0.114
I  0.179  0.341  0.324
I  0.859  0.729  0.736

Properties
DFT total energy: -28.75 eV per cell
magnetic moment: 0.0 μB per cell
formation energy from raw total energies: -0.080 eV per atom
energy above the most stable polymorph in this dataset: 88 meV per atom
SG: P1, No. 1

=====

First-principles (PBE) data for crystalline BeIrI at its relaxed geometry, as listed in the Alexandria database.

a b c (Å): 3.873 3.879 9.270
angles (deg): 90.00 90.39 90.00
Element x y z (fractional)
Be  0.105  0.250  0.032
Be  0.895  0.750  0.968
Ir  0.392  0.750  0.097
Ir  0.608  0.250  0.903
I  0.279  0.250  0.298
I  0.721  0.750  0.702

Properties
DFT total energy: -29.28 eV per cell
magnetic moment: 0.0 μB per cell
formation energy from raw total energies: -0.168 eV per atom
energy above the most stable polymorph in this dataset: 0 meV per atom
SG: P2_1/m, No. 11

=====

First-principles (PBE) data for crystalline BeIrI at its relaxed geometry, as listed in the Alexandria database.

a b c (Å): 3.961 3.961 10.172
angles (deg): 90.00 90.00 120.00
Element x y z (fractional)
Be  0.333  0.667  0.250
Be  0.667  0.333  0.750
Ir  0.000  0.000  0.000
Ir  0.000  0.000  0.500
I  0.000  0.000  0.250
I  0.000  0.000  0.750

Properties
DFT total energy: -17.63 eV per cell
magnetic moment: 0.6 μB per cell
formation energy from raw total energies: 1.775 eV per atom
energy above the most stable polymorph in this dataset: 1943 meV per atom
SG: P6_3/mmc, No. 194

=====

First-principles (PBE) data for crystalline BeIr3I at its relaxed geometry, as listed in the Alexandria database.

a b c (Å): 4.302 4.302 4.302
angles (deg): 90.00 90.00 90.00
Element x y z (fractional)
Be  0.000  0.000  0.000
Ir  0.000  0.000  0.500
Ir  0.000  0.500  0.000
Ir  0.500  0.000  0.000
I  0.500  0.500  0.500

Properties
DFT total energy: -27.35 eV per cell
magnetic moment: 0.0 μB per cell
formation energy from raw total energies: 0.902 eV per atom
energy above the most stable polymorph in this dataset: 0 meV per atom
SG: Pm-3m, No. 221

=====

First-principles (PBE) data for crystalline BeIr2I2 at its relaxed geometry, as listed in the Alexandria database.

a b c (Å): 6.397 6.397 4.679
angles (deg): 90.00 90.00 90.00
Element x y z (fractional)
Be  0.000  0.000  0.000
Be  0.500  0.500  0.000
Ir  0.154  0.346  0.000
Ir  0.346  0.846  0.000
Ir  0.654  0.154  0.000
Ir  0.846  0.654  0.000
I  0.188  0.688  0.500
I  0.312  0.188  0.500
I  0.688  0.812  0.500
I  0.812  0.312  0.500

Properties
DFT total energy: -41.24 eV per cell
magnetic moment: 0.0 μB per cell
formation energy from raw total energies: 0.786 eV per atom
energy above the most stable polymorph in this dataset: 92 meV per atom
SG: P4/mbm, No. 127

=====

First-principles (PBE) data for crystalline BeIrI at its relaxed geometry, as listed in the Alexandria database.

a b c (Å): 3.035 3.641 11.237
angles (deg): 90.38 96.15 90.00
Element x y z (fractional)
Be  0.000  0.000  0.000
Be  0.053  0.503  0.136
Ir  0.488  0.500  0.972
Ir  0.565  0.004  0.164
I  0.394  0.497  0.738
I  0.659  0.010  0.399

Properties
DFT total energy: -28.78 eV per cell
magnetic moment: 0.0 μB per cell
formation energy from raw total energies: -0.084 eV per atom
energy above the most stable polymorph in this dataset: 84 meV per atom
SG: P1, No. 1

=====

First-principles (PBE) data for crystalline BeIrI at its relaxed geometry, as listed in the Alexandria database.

a b c (Å): 5.440 5.440 4.371
angles (deg): 90.00 90.00 90.00
Element x y z (fractional)
Be  0.250  0.250  0.101
Be  0.750  0.750  0.899
Ir  0.250  0.250  0.609
Ir  0.750  0.750  0.391
I  0.250  0.750  0.500
I  0.750  0.250  0.500

Properties
DFT total energy: -23.70 eV per cell
magnetic moment: 0.0 μB per cell
formation energy from raw total energies: 0.763 eV per atom
energy above the most stable polymorph in this dataset: 931 meV per atom
SG: P4/nmm, No. 129

=====

First-principles (PBE) data for crystalline BeIrI at its relaxed geometry, as listed in the Alexandria database.

a b c (Å): 3.899 3.900 9.746
angles (deg): 85.15 85.27 60.05
Element x y z (fractional)
Be  0.000  0.000  0.000
Be  0.317  0.315  0.120
Ir  0.349  0.350  0.881
Ir  0.659  0.658  0.058
I  0.037  0.040  0.723
I  0.622  0.619  0.327

Properties
DFT total energy: -28.79 eV per cell
magnetic moment: 0.0 μB per cell
formation energy from raw total energies: -0.086 eV per atom
energy above the most stable polymorph in this dataset: 82 meV per atom
SG: P1, No. 1

=====

First-principles (PBE) data for crystalline BeIrI at its relaxed geometry, as listed in the Alexandria database.

a b c (Å): 3.901 3.901 9.556
angles (deg): 101.54 101.54 89.28
Element x y z (fractional)
Be  0.214  0.786  0.000
Be  0.786  0.214  0.000
Ir  0.204  0.204  0.855
Ir  0.657  0.657  0.855
I  0.114  0.114  0.236
I  0.815  0.815  0.618

Properties
DFT total energy: -28.59 eV per cell
magnetic moment: 0.0 μB per cell
formation energy from raw total energies: -0.053 eV per atom
energy above the most stable polymorph in this dataset: 115 meV per atom
SG: Cm, No. 8

=====

First-principles (PBE) data for crystalline BeIrI3 at its relaxed geometry, as listed in the Alexandria database.

a b c (Å): 5.137 5.137 5.137
angles (deg): 90.00 90.00 90.00
Element x y z (fractional)
Be  0.000  0.000  0.000
Ir  0.500  0.500  0.500
I  0.000  0.000  0.500
I  0.000  0.500  0.000
I  0.500  0.000  0.000

Properties
DFT total energy: -11.59 eV per cell
magnetic moment: 2.6 μB per cell
formation energy from raw total energies: 1.129 eV per atom
energy above the most stable polymorph in this dataset: 258 meV per atom
SG: Pm-3m, No. 221

=====

First-principles (PBE) data for crystalline BeIrI at its relaxed geometry, as listed in the Alexandria database.

a b c (Å): 3.901 3.901 9.838
angles (deg): 101.28 101.28 60.00
Element x y z (fractional)
Be  0.000  0.000  0.000
Be  0.707  0.707  0.122
Ir  0.353  0.353  0.059
Ir  0.627  0.627  0.880
I  0.443  0.443  0.332
I  0.908  0.908  0.720

Properties
DFT total energy: -28.79 eV per cell
magnetic moment: 0.0 μB per cell
formation energy from raw total energies: -0.086 eV per atom
energy above the most stable polymorph in this dataset: 82 meV per atom
SG: Cm, No. 8

=====

First-principles (PBE) data for crystalline BeIrI at its relaxed geometry, as listed in the Alexandria database.

a b c (Å): 3.731 4.110 9.505
angles (deg): 99.20 101.21 90.00
Element x y z (fractional)
Be  0.000  0.000  0.000
Be  0.490  0.743  0.979
Ir  0.543  0.279  0.087
Ir  0.945  0.462  0.889
I  0.345  0.492  0.688
I  0.644  0.892  0.291

Properties
DFT total energy: -28.73 eV per cell
magnetic moment: 0.0 μB per cell
formation energy from raw total energies: -0.077 eV per atom
energy above the most stable polymorph in this dataset: 92 meV per atom
SG: P1, No. 1

=====

First-principles (PBE) data for crystalline BeIrI at its relaxed geometry, as listed in the Alexandria database.

a b c (Å): 7.381 3.799 8.695
angles (deg): 90.00 90.00 90.00
Element x y z (fractional)
Be  0.060  0.250  0.034
Be  0.440  0.750  0.534
Be  0.560  0.250  0.466
Be  0.940  0.750  0.966
Ir  0.221  0.750  0.061
Ir  0.279  0.250  0.561
Ir  0.721  0.750  0.439
Ir  0.779  0.250  0.939
I  0.123  0.750  0.346
I  0.377  0.250  0.846
I  0.623  0.750  0.154
I  0.877  0.250  0.654

Properties
DFT total energy: -53.86 eV per cell
magnetic moment: 0.0 μB per cell
formation energy from raw total energies: 0.224 eV per atom
energy above the most stable polymorph in this dataset: 392 meV per atom
SG: Pnma, No. 62